# 1
{"formula": "UMn2Br8", "functional": "PBE", "state": "optimized geometry", "final_energy_ev_per_atom": -4.857, "raw_formation_energy_ev_per_atom": -0.9469, "spacegroup": "C2/m", "cell": [[6.778, -0.112, 0.246], [-0.069, 7.876, 4.095], [-0.351, 1.094, 8.802]], "species": ["Br", "Br", "Br", "Br", "Br", "Br", "Br", "Br", "Mn", "Mn", "U"], "frac_coords": [[0.775, 0.150, 0.150], [0.319, 0.310, 0.310], [0.753, 0.157, 0.694], [0.753, 0.694, 0.157], [0.247, 0.843, 0.306], [0.247, 0.306, 0.843], [0.681, 0.690, 0.690], [0.225, 0.850, 0.850], [0.600, 0.836, 0.836], [0.400, 0.164, 0.164], [0.000, 0.000, 0.000]]}

=====

# 2
{"formula": "BaDy4ErSe8", "functional": "PBE", "state": "optimized geometry", "final_energy_ev_per_atom": -5.539, "raw_formation_energy_ev_per_atom": -1.7692, "spacegroup": "R3m", "cell": [[-2.561, -8.113, 1.290], [2.608, -4.274, 6.998], [-5.582, -1.804, 6.268]], "species": ["Se", "Se", "Se", "Se", "Se", "Se", "Se", "Se", "Dy", "Dy", "Dy", "Dy", "Ba", "Er"], "frac_coords": [[0.803, 0.231, 0.735], [0.759, 0.759, 0.255], [0.231, 0.231, 0.735], [0.231, 0.803, 0.735], [0.757, 0.757, 0.729], [0.233, 0.233, 0.302], [0.759, 0.227, 0.255], [0.227, 0.759, 0.255], [0.625, 0.625, 0.126], [0.495, 0.002, 0.502], [0.002, 0.495, 0.502], [0.002, 0.002, 0.502], [0.375, 0.375, 0.874], [0.002, 0.002, 0.995]]}

=====

# 3
{"formula": "Ce3PmSb3", "functional": "PBE", "state": "optimized geometry", "final_energy_ev_per_atom": -5.932, "raw_formation_energy_ev_per_atom": -0.9439, "polymorph_energy_mev_per_atom": 0.0, "spacegroup": "P2_13", "cell": [[9.459, 0.000, 0.000], [0.000, 9.459, 0.000], [0.000, 0.000, 9.459]], "species": ["Ce", "Ce", "Ce", "Ce", "Ce", "Ce", "Ce", "Ce", "Ce", "Ce", "Ce", "Ce", "Sb", "Sb", "Sb", "Sb", "Sb", "Sb", "Sb", "Sb", "Sb", "Sb", "Sb", "Sb", "Pm", "Pm", "Pm", "Pm"], "frac_coords": [[0.429, 0.571, 0.071], [0.825, 0.675, 0.325], [0.325, 0.825, 0.675], [0.675, 0.325, 0.825], [0.177, 0.823, 0.323], [0.823, 0.323, 0.177], [0.071, 0.429, 0.571], [0.677, 0.677, 0.677], [0.323, 0.177, 0.823], [0.571, 0.071, 0.429], [0.929, 0.929, 0.929], [0.175, 0.175, 0.175], [0.628, 0.001, 0.751], [0.751, 0.628, 0.001], [0.249, 0.128, 0.499], [0.251, 0.872, 0.999], [0.001, 0.751, 0.628], [0.372, 0.501, 0.749], [0.999, 0.251, 0.872], [0.128, 0.499, 0.249], [0.501, 0.749, 0.372], [0.872, 0.999, 0.251], [0.499, 0.249, 0.128], [0.749, 0.372, 0.501], [0.072, 0.572, 0.928], [0.572, 0.928, 0.072], [0.928, 0.072, 0.572], [0.428, 0.428, 0.428]]}